[1]
Density functional theory data (PBE) for a relaxed structure of KLi2Tc. Values from VASP.

Geometry as Quantum ESPRESSO input:
```
&SYSTEM
  ibrav = 0, nat = 4, ntyp = 3
/
ATOMIC_SPECIES
Li 6.94 Li.upf
Tc 98.00 Tc.upf
K 39.10 K.upf
ATOMIC_POSITIONS angstrom
Li -6.419 -6.325 -0.640
Li -0.140 -5.350 3.284
Tc -4.223 -4.820 -0.004
K -2.113 -2.231 -0.117
CELL_PARAMETERS angstrom
-4.893 -0.845 -1.173
-3.517 -2.050 -3.077
-0.113 -5.754 3.559
```

**Calculated formation energy**: 70.3 kJ per mole of atoms
**Energy above the lowest structure with this stoichiometry**: 0.0770 eV per atom

=====

[2]
Density functional theory data (PBE) for a relaxed structure of Ac2Bi2Rh. Values from VASP.

Geometry as Quantum ESPRESSO input:
```
&SYSTEM
  ibrav = 0, nat = 10, ntyp = 3
/
ATOMIC_SPECIES
Bi 208.98 Bi.upf
Ac 227.00 Ac.upf
Rh 102.91 Rh.upf
ATOMIC_POSITIONS angstrom
Bi 1.853 1.446 1.864
Bi 0.808 2.065 7.411
Bi 4.426 5.244 11.587
Bi 5.471 4.625 6.040
Ac 4.439 1.819 11.549
Ac 3.467 1.729 4.997
Ac 2.812 4.962 8.453
Ac 1.840 4.872 1.902
Rh 3.599 5.792 4.276
Rh 2.680 0.898 9.174
CELL_PARAMETERS angstrom
4.255 0.004 0.802
2.106 6.328 0.491
-0.082 0.359 12.158
```

**Calculated formation energy**: -74.2 kJ per mole of atoms

=====

[3]
Density functional theory data (PBE) for a relaxed structure of CuF4. Values from VASP.

Geometry as Quantum ESPRESSO input:
```
&SYSTEM
  ibrav = 0, nat = 5, ntyp = 2
/
ATOMIC_SPECIES
F 19.00 F.upf
Cu 63.55 Cu.upf
ATOMIC_POSITIONS angstrom
F -1.407 -1.467 1.782
F -1.024 1.175 2.209
F -2.671 0.350 0.230
F 0.000 0.000 0.000
Cu -2.551 0.029 2.111
CELL_PARAMETERS angstrom
-3.054 -2.292 -0.197
0.239 -0.643 3.762
-2.288 2.992 0.657
```

**Uncorrected formation energy**: -0.82 eV per atom